Record 1
Material: CaAcSm
Method: DFT, PBE-GGA
State: relaxed

Unit cell a=3.8628 b=5.3200 c=11.6702 alpha=90.00 beta=90.02 gamma=90.00
With the nearest neighbours (Å) after each atom.
Positions (direct):
Ca: 0.2493 0.2500 0.0858  6 Ca 3.85-3.86, 5 Ac 3.88-4.07, 1 Sm 3.97
Ca: 0.7507 0.7500 0.9142  6 Ca 3.85-3.86, 5 Ac 3.88-4.07, 1 Sm 3.97
Ac: 0.2511 0.2500 0.7371  5 Sm 3.63-3.80, 2 Ac 3.86, 4 Ca 3.88
Ac: 0.7489 0.7500 0.2629  5 Sm 3.63-3.80, 2 Ac 3.86, 4 Ca 3.88
Sm: 0.2497 0.2500 0.4260  5 Ac 3.63-3.80, 6 Sm 3.71-3.86, 1 Ca 3.97
Sm: 0.7503 0.7500 0.5740  5 Ac 3.63-3.80, 6 Sm 3.71-3.86, 1 Ca 3.97

Properties
Magnetic moment = 0.000 μB/cell
Raw total energy = -3.56 eV/atom
Space-group type = P2_1/m

Record 2
Material: Sc2CoNi
Method: DFT, PBE-GGA
State: relaxed

Unit cell a=3.1348 b=3.1348 c=6.3446 alpha=90.00 beta=90.00 gamma=90.00
With the nearest neighbours (Å) after each atom.
Positions (direct):
Sc: 0.0000 0.0000 0.2443  4 Co 2.70, 4 Ni 2.75
Sc: 0.0000 0.0000 0.7557  4 Co 2.70, 4 Ni 2.75
Co: 0.5000 0.5000 0.0000  8 Sc 2.70
Ni: 0.5000 0.5000 0.5000  8 Sc 2.75

Properties
Magnetic moment = 0.307 μB/cell
Raw total energy = -6.83 eV/atom
Space-group type = P4/mmm

Record 3
Material: Sm3MgSc
Method: DFT, PBE-GGA
State: relaxed

Unit cell a=10.8536 b=10.8536 c=8.2168 alpha=105.06 beta=105.06 gamma=18.76
With the nearest neighbours (Å) after each atom.
Positions (direct):
Sm: 0.0120 0.0120 0.2229  4 Sc 3.39-3.45, 7 Sm 3.48-3.64, 1 Mg 3.51
Sm: 0.2156 0.2156 0.8040  3 Mg 3.27-3.54, 7 Sm 3.44-3.63, 2 Sc 3.45
Sm: 0.3803 0.3803 0.9802  9 Sm 3.44-3.64, 2 Mg 3.48, 1 Sc 3.53
Sm: 0.6197 0.6197 0.0198  9 Sm 3.44-3.64, 2 Mg 3.48, 1 Sc 3.53
Sm: 0.7844 0.7844 0.1960  3 Mg 3.27-3.54, 7 Sm 3.44-3.63, 2 Sc 3.45
Sm: 0.9880 0.9880 0.7771  4 Sc 3.39-3.45, 7 Sm 3.48-3.64, 1 Mg 3.51
Mg: 0.1808 0.1808 0.3920  6 Sm 3.27-3.54, 2 Sc 3.37, 4 Mg 3.51-3.54
Mg: 0.8192 0.8192 0.6080  6 Sm 3.27-3.54, 2 Sc 3.37, 4 Mg 3.51-3.54
Sc: 0.4165 0.4165 0.4255  2 Mg 3.37, 7 Sm 3.39-3.53, 3 Sc 3.46-3.54
Sc: 0.5835 0.5835 0.5745  2 Mg 3.37, 7 Sm 3.39-3.53, 3 Sc 3.46-3.54

Properties
Magnetic moment = 0.000 μB/cell
Raw total energy = -4.38 eV/atom
Space-group type = C2/m

Record 4
Material: BiH2RhS
Method: DFT, PBE-GGA
State: relaxed

Unit cell a=3.6627 b=3.6627 c=6.1065 alpha=90.00 beta=90.00 gamma=90.00
With the nearest neighbours (Å) after each atom.
Positions (direct):
Bi: 0.0000 0.0000 0.0000  4 Rh 2.59
H: 0.0000 0.5000 0.5000  2 S 1.83
H: 0.5000 0.0000 0.5000  2 S 1.83
Rh: 0.5000 0.5000 0.0000  4 Bi 2.59
S: 0.0000 0.0000 0.5000  4 H 1.83

Properties
Magnetic moment = 0.000 μB/cell
Raw total energy = -3.96 eV/atom
Space-group type = P4/mmm

Density values (in g/cm³) by entry order: 5.781, 5.528, 5.754, 7.013.